(1)
Below is TlPtSe3 after structural relaxation, with properties calculated at the PBE level.

Cell and atoms, written as extended XYZ:
```
5
Lattice="-4.728 0.291 -1.856 -1.683 -2.889 3.835 -0.835 4.178 2.781" Properties=species:S:1:pos:R:3 pbc="T T T"
Tl -3.623 0.790 2.380
Se -0.842 -1.445 1.918
Se -0.418 2.089 1.391
Se -2.364 0.145 -0.928
Pt 0.000 0.000 0.000
```

Calculated values
Space-group type = Pm-3m (221)
Raw total energy = -3.607 eV per atom
Raw formation energy = 0.8 eV per formula unit
Volume = 132 Å³ per cell

(2)
Below is Tl2PtSe2 after structural relaxation, with properties calculated at the PBE level.

Cell and atoms, written as extended XYZ:
```
5
Lattice="4.198 0.000 0.000 0.000 4.198 0.000 2.099 2.099 7.310" Properties=species:S:1:pos:R:3 pbc="T T T"
Tl 4.198 2.099 3.655
Tl 2.099 4.198 3.655
Se 2.099 2.099 1.196
Se 4.198 4.198 6.114
Pt 0.000 0.000 0.000
```

Calculated values
Space-group type = I4/mmm (139)
Raw total energy = -2.979 eV per atom
Raw formation energy = 2.8 eV per formula unit
Volume = 129 Å³ per cell

(3)
Below is Tl2Pt3Se2 after structural relaxation, with properties calculated at the PBE level.

Cell and atoms, written as extended XYZ:
```
7
Lattice="-3.472 -0.557 4.696 -1.654 -5.330 1.810 2.645 -2.231 5.356" Properties=species:S:1:pos:R:3 pbc="T T T"
Tl -1.241 -4.059 5.931
Tl 0.000 0.000 0.000
Pt -1.736 -0.278 2.348
Pt -2.563 -2.943 3.253
Pt -0.827 -2.665 0.905
Se -0.240 -2.053 3.244
Se -2.242 -6.065 8.618
```

Calculated values
Space-group type = R-3m (166)
Raw total energy = -4.491 eV per atom
Raw formation energy = -1.6 eV per formula unit
Volume = 161 Å³ per cell

(4)
Below is Tl2PtSe after structural relaxation, with properties calculated at the PBE level.

Cell and atoms, written as extended XYZ:
```
4
Lattice="8.015 -0.027 -0.017 7.249 3.420 -0.017 1.009 0.224 3.834" Properties=species:S:1:pos:R:3 pbc="T T T"
Pt 12.204 2.713 2.850
Se 4.068 0.904 0.950
Tl 2.203 0.490 3.518
Tl 6.943 1.543 2.217
```

Calculated values
Space-group type = C2/m (12)
Raw total energy = -3.651 eV per atom
Raw formation energy = -0.3 eV per formula unit
Volume = 106 Å³ per cell